No. 1
Here is a relaxed Ac2PrTc crystal from Alexandria. Energies are from PBE.

Calculated values
E_tot: -5.02 eV/atom
Crystal system: trigonal
Energy of formation from the pure elements: 3.29 eV per formula unit

Lattice parameters (Å, degrees): 3.680 3.680 11.818 81.04 81.04 60.00
Element x y z (fractional)
Pr (0.500, 0.500, 0.500)
Ac (0.075, 0.075, 0.774)
Ac (0.925, 0.925, 0.226)
Tc (0.000, 0.000, 0.000)

No. 2
Here is a relaxed Zr4Sc3In crystal from Alexandria. Energies are from PBE.

Calculated values
E_tot: -6.97 eV/atom
Crystal system: monoclinic
Energy of formation from the pure elements: 0.17 eV per formula unit

Lattice parameters (Å, degrees): 3.179 6.481 10.802 96.95 81.56 119.36
Element x y z (fractional)
Sc (0.000, 0.500, 0.000)
Sc (0.090, 0.731, 0.279)
Sc (0.910, 0.269, 0.721)
Zr (0.518, 0.252, 0.470)
Zr (0.482, 0.748, 0.530)
Zr (0.125, 0.239, 0.225)
Zr (0.875, 0.761, 0.775)
In (0.500, 0.000, 0.000)

No. 3
Here is a relaxed TaCuH2 crystal from Alexandria. Energies are from PBE.

Calculated values
E_tot: -5.31 eV/atom
Crystal system: cubic
Energy above the lowest structure with this stoichiometry: 0.202 eV/atom

Lattice parameters (Å, degrees): 3.672 3.672 3.672 60.00 60.00 60.00
Element x y z (fractional)
H (0.250, 0.250, 0.250)
H (0.750, 0.750, 0.750)
Cu (0.000, 0.000, 0.000)
Ta (0.500, 0.500, 0.500)

No. 4
Here is a relaxed RbIr2WBr crystal from Alexandria. Energies are from PBE.

Calculated values
E_tot: -3.04 eV/atom
Crystal system: tetragonal
Uncorrected formation energy: 18.13 eV per formula unit

Lattice parameters (Å, degrees): 4.875 6.286 4.875 90.00 90.00 90.00
Site moments in Bohr magnetons follow the coordinates.
Element x y z (fractional)
Ir (0.000, 0.000, 0.500)  0.96
Ir (0.500, 0.000, 0.000)  0.91
Rb (0.000, 0.000, 0.000)  0.05
W (0.000, 0.500, 0.000)  3.30
Br (0.500, 0.500, 0.500)  -0.06

No. 5
Here is a relaxed Ac3GaPd2O9 crystal from Alexandria. Energies are from PBE.

Calculated values
E_tot: -6.76 eV/atom
Crystal system: trigonal
Uncorrected formation energy: -31.04 eV per formula unit

Lattice parameters (Å, degrees): 5.734 5.734 7.034 90.00 90.00 120.00
Element x y z (fractional)
Ac (0.333, 0.667, 0.668)
Ac (0.000, 0.000, 0.000)
Ac (0.667, 0.333, 0.332)
Ga (0.000, 0.000, 0.500)
Pd (0.333, 0.667, 0.172)
Pd (0.667, 0.333, 0.828)
O (0.838, 0.162, 0.660)
O (0.838, 0.676, 0.660)
O (0.324, 0.162, 0.660)
O (0.676, 0.838, 0.340)
O (0.162, 0.324, 0.340)
O (0.162, 0.838, 0.340)
O (0.500, 0.000, 0.000)
O (0.000, 0.500, 0.000)
O (0.500, 0.500, 0.000)

No. 6
Here is a relaxed CsGaTcSn2 crystal from Alexandria. Energies are from PBE.

Calculated values
E_tot: -4.47 eV/atom
Crystal system: tetragonal
Energy of formation from the pure elements: -0.12 eV per formula unit

Lattice parameters (Å, degrees): 5.262 5.262 5.066 90.00 90.00 90.00
Element x y z (fractional)
Cs (0.500, 0.500, 0.500)
Sn (0.000, 0.500, 0.000)
Sn (0.500, 0.000, 0.000)
Ga (0.000, 0.000, 0.500)
Tc (0.000, 0.000, 0.000)

No. 7
Here is a relaxed Ac6P2Se3Br crystal from Alexandria. Energies are from PBE.

Calculated values
E_tot: -5.64 eV/atom
Crystal system: monoclinic
Uncorrected formation energy: -20.05 eV per formula unit

Lattice parameters (Å, degrees): 4.442 8.978 9.959 102.71 102.89 90.00
Element x y z (fractional)
Ac (0.328, 0.899, 0.655)
Ac (0.671, 0.574, 0.343)
Ac (0.672, 0.101, 0.345)
Ac (0.006, 0.264, 0.013)
Ac (0.994, 0.736, 0.987)
Ac (0.329, 0.426, 0.657)
P (0.834, 0.668, 0.667)
P (0.166, 0.332, 0.333)
Se (0.500, 0.500, 0.000)
Se (0.837, 0.166, 0.674)
Se (0.163, 0.834, 0.326)
Br (0.500, 0.000, 0.000)

No. 8
Here is a relaxed Ba2Ag15Au2 crystal from Alexandria. Energies are from PBE.

Calculated values
E_tot: -2.91 eV/atom
Crystal system: trigonal
Energy of formation from the pure elements: -2.12 eV per formula unit

Lattice parameters (Å, degrees): 7.456 7.456 7.456 82.95 82.95 82.95
Element x y z (fractional)
Ba (0.339, 0.339, 0.339)
Ba (0.661, 0.661, 0.661)
Ag (0.500, 0.000, 0.000)
Ag (0.000, 0.000, 0.500)
Ag (0.000, 0.500, 0.000)
Ag (0.000, 0.706, 0.294)
Ag (0.706, 0.294, 0.000)
Ag (0.294, 0.000, 0.706)
Ag (0.294, 0.706, 0.000)
Ag (0.706, 0.000, 0.294)
Ag (0.000, 0.294, 0.706)
Ag (0.152, 0.656, 0.656)
Ag (0.656, 0.656, 0.152)
Ag (0.656, 0.152, 0.656)
Ag (0.848, 0.344, 0.344)
Ag (0.344, 0.344, 0.848)
Ag (0.344, 0.848, 0.344)
Au (0.099, 0.099, 0.099)
Au (0.901, 0.901, 0.901)

No. 9
Here is a relaxed AlCrCdAg2 crystal from Alexandria. Energies are from PBE.

Calculated values
E_tot: -2.95 eV/atom
Crystal system: tetragonal
Energy of formation from the pure elements: 5.22 eV per formula unit

Lattice parameters (Å, degrees): 5.133 5.151 5.133 90.00 90.00 90.00
Site moments in Bohr magnetons follow the coordinates.
Element x y z (fractional)
Cr (0.000, 0.500, 0.000)  4.03
Al (0.500, 0.500, 0.500)  0.01
Ag (0.000, 0.000, 0.500)  -0.01
Ag (0.500, 0.000, 0.000)  0.00
Cd (0.000, 0.000, 0.000)  0.03

No. 10
Here is a relaxed NiSeBrN2 crystal from Alexandria. Energies are from PBE.

Calculated values
E_tot: -4.22 eV/atom
Crystal system: tetragonal
Uncorrected formation energy: 6.49 eV per formula unit
Energy above the lowest structure with this stoichiometry: 0.000 eV/atom

Lattice parameters (Å, degrees): 3.800 3.800 5.476 90.00 90.00 90.00
Site moments in Bohr magnetons follow the coordinates.
Element x y z (fractional)
Ni (0.000, 0.000, 0.000)  0.63
Se (0.000, 0.000, 0.500)  0.07
Br (0.500, 0.500, 0.500)  0.04
N (0.000, 0.500, 0.000)  1.09
N (0.500, 0.000, 0.000)  1.09

No. 11
Here is a relaxed ZnGeAsIrAu crystal from Alexandria. Energies are from PBE.

Calculated values
E_tot: -4.58 eV/atom
Crystal system: monoclinic
Energy of formation from the pure elements: -0.21 eV per formula unit
Energy above the lowest structure with this stoichiometry: 0.074 eV/atom

Lattice parameters (Å, degrees): 4.471 4.199 10.582 90.00 96.47 90.00
Element x y z (fractional)
Zn (0.489, 0.000, 0.980)
Zn (0.489, 0.500, 0.480)
As (0.301, 0.000, 0.694)
As (0.301, 0.500, 0.194)
Ir (0.956, 0.000, 0.861)
Ir (0.956, 0.500, 0.361)
Au (0.626, 0.000, 0.229)
Au (0.626, 0.500, 0.729)
Ge (0.018, 0.000, 0.469)
Ge (0.018, 0.500, 0.969)

No. 12
Here is a relaxed SmErTm6 crystal from Alexandria. Energies are from PBE.

Calculated values
E_tot: -4.28 eV/atom
Crystal system: monoclinic
Energy of formation from the pure elements: 1.85 eV per formula unit

Lattice parameters (Å, degrees): 6.692 6.692 9.368 110.85 110.85 120.79
Element x y z (fractional)
Sm (0.500, 0.500, 0.500)
Er (0.000, 0.000, 0.000)
Tm (0.289, 0.289, 0.751)
Tm (0.670, 0.170, 0.246)
Tm (0.711, 0.711, 0.249)
Tm (0.830, 0.330, 0.754)
Tm (0.330, 0.830, 0.754)
Tm (0.170, 0.670, 0.246)

No. 13
Here is a relaxed Y2Sn2Te crystal from Alexandria. Energies are from PBE.

Calculated values
E_tot: -5.56 eV/atom
Crystal system: tetragonal
Uncorrected formation energy: -3.73 eV per formula unit
Energy above the lowest structure with this stoichiometry: 0.047 eV/atom

Lattice parameters (Å, degrees): 4.177 4.177 8.740 76.18 76.18 90.00
Site moments in Bohr magnetons follow the coordinates.
Element x y z (fractional)
Y (0.396, 0.396, 0.207)  0.09
Y (0.604, 0.604, 0.793)  0.09
Te (0.000, 0.000, 0.000)  -0.01
Sn (0.750, 0.250, 0.500)  -0.01
Sn (0.250, 0.750, 0.500)  -0.01

No. 14
Here is a relaxed LiCu2H2 crystal from Alexandria. Energies are from PBE.

Calculated values
E_tot: -3.29 eV/atom
Crystal system: tetragonal
Energy above the lowest structure with this stoichiometry: 0.007 eV/atom

Lattice parameters (Å, degrees): 5.200 5.200 3.414 90.00 90.00 90.00
Element x y z (fractional)
H (0.177, 0.677, 0.000)
H (0.677, 0.823, 0.000)
H (0.823, 0.323, 0.000)
H (0.323, 0.177, 0.000)
Cu (0.175, 0.675, 0.500)
Cu (0.675, 0.825, 0.500)
Cu (0.825, 0.325, 0.500)
Cu (0.325, 0.175, 0.500)
Li (0.000, 0.000, 0.000)
Li (0.500, 0.500, 0.000)

No. 15
Here is a relaxed Ac3MgBi4 crystal from Alexandria. Energies are from PBE.

Calculated values
E_tot: -4.34 eV/atom
Crystal system: cubic
Energy of formation from the pure elements: -5.25 eV per formula unit

Lattice parameters (Å, degrees): 6.816 6.816 6.816 90.00 90.00 90.00
Element x y z (fractional)
Ac (0.000, 0.500, 0.500)
Ac (0.500, 0.000, 0.500)
Ac (0.500, 0.500, 0.000)
Mg (0.000, 0.000, 0.000)
Bi (0.500, 0.000, 0.000)
Bi (0.000, 0.500, 0.000)
Bi (0.000, 0.000, 0.500)
Bi (0.500, 0.500, 0.500)

No. 16
Here is a relaxed Ca3InSn2 crystal from Alexandria. Energies are from PBE.

Calculated values
E_tot: -3.31 eV/atom
Crystal system: orthorhombic
Energy of formation from the pure elements: -3.14 eV per formula unit
Energy above the lowest structure with this stoichiometry: 0.032 eV/atom

Lattice parameters (Å, degrees): 4.803 12.141 12.700 90.00 90.00 90.00
Element x y z (fractional)
Ca (0.250, 0.388, 0.052)
Ca (0.750, 0.612, 0.948)
Ca (0.750, 0.888, 0.448)
Ca (0.250, 0.112, 0.552)
Ca (0.250, 0.689, 0.205)
Ca (0.750, 0.311, 0.795)
Ca (0.750, 0.189, 0.295)
Ca (0.250, 0.811, 0.705)
Ca (0.250, 0.433, 0.368)
Ca (0.750, 0.567, 0.632)
Ca (0.750, 0.933, 0.132)
Ca (0.250, 0.067, 0.868)
In (0.250, 0.141, 0.138)
In (0.750, 0.859, 0.862)
In (0.750, 0.641, 0.362)
In (0.250, 0.359, 0.638)
Sn (0.250, 0.686, 0.486)
Sn (0.750, 0.314, 0.514)
Sn (0.750, 0.186, 0.014)
Sn (0.250, 0.814, 0.986)
Sn (0.250, 0.983, 0.309)
Sn (0.750, 0.017, 0.691)
Sn (0.750, 0.483, 0.191)
Sn (0.250, 0.517, 0.809)

No. 17
Here is a relaxed HoU2Pd9 crystal from Alexandria. Energies are from PBE.

Calculated values
E_tot: -6.82 eV/atom
Crystal system: tetragonal
Energy of formation from the pure elements: -8.01 eV per formula unit

Lattice parameters (Å, degrees): 4.134 4.134 12.400 90.00 90.00 90.00
Site moments in Bohr magnetons follow the coordinates.
Element x y z (fractional)
Ho (0.000, 0.000, 0.000)  0.00
U (0.000, 0.000, 0.331)  1.99
U (0.000, 0.000, 0.669)  1.99
Pd (0.500, 0.500, 0.000)  -0.01
Pd (0.500, 0.500, 0.333)  -0.02
Pd (0.500, 0.500, 0.667)  -0.02
Pd (0.500, 0.000, 0.168)  -0.01
Pd (0.500, 0.000, 0.500)  -0.02
Pd (0.500, 0.000, 0.832)  -0.01
Pd (0.000, 0.500, 0.168)  -0.01
Pd (0.000, 0.500, 0.500)  -0.02
Pd (0.000, 0.500, 0.832)  -0.01

No. 18
Here is a relaxed Sc2Zn2CoNi5 crystal from Alexandria. Energies are from PBE.

Calculated values
E_tot: -5.31 eV/atom
Crystal system: tetragonal
Energy of formation from the pure elements: -1.84 eV per formula unit

Lattice parameters (Å, degrees): 3.530 8.811 8.811 90.00 90.00 90.00
Site moments in Bohr magnetons follow the coordinates.
Element x y z (fractional)
Sc (0.000, 0.675, 0.175)  -0.07
Sc (0.000, 0.325, 0.825)  -0.07
Sc (0.000, 0.175, 0.325)  -0.07
Sc (0.000, 0.825, 0.675)  -0.07
Zn (0.000, 0.123, 0.623)  -0.01
Zn (0.000, 0.877, 0.377)  -0.01
Zn (0.000, 0.623, 0.877)  -0.01
Zn (0.000, 0.377, 0.123)  -0.01
Co (0.000, 0.000, 0.000)  1.67
Co (0.000, 0.500, 0.500)  1.67
Ni (0.500, 0.195, 0.059)  0.13
Ni (0.500, 0.805, 0.941)  0.13
Ni (0.500, 0.059, 0.805)  0.13
Ni (0.500, 0.695, 0.441)  0.13
Ni (0.500, 0.941, 0.195)  0.13
Ni (0.500, 0.305, 0.559)  0.13
Ni (0.500, 0.559, 0.695)  0.13
Ni (0.500, 0.441, 0.305)  0.13
Ni (0.500, 0.500, 0.000)  -0.02
Ni (0.500, 0.000, 0.500)  -0.02

No. 19
Here is a relaxed GaBSb3 crystal from Alexandria. Energies are from PBE.

Calculated values
E_tot: -2.96 eV/atom
Crystal system: cubic
Uncorrected formation energy: 7.27 eV per formula unit
Energy above the lowest structure with this stoichiometry: 0.764 eV/atom

Lattice parameters (Å, degrees): 5.292 5.292 5.292 90.00 90.00 90.00
Element x y z (fractional)
Sb (0.000, 0.500, 0.000)
Sb (0.000, 0.000, 0.500)
Sb (0.500, 0.000, 0.000)
B (0.500, 0.500, 0.500)
Ga (0.000, 0.000, 0.000)

No. 20
Here is a relaxed HgTe2Au crystal from Alexandria. Energies are from PBE.

Calculated values
E_tot: -2.42 eV/atom
Crystal system: monoclinic
Uncorrected formation energy: 0.19 eV per formula unit

Lattice parameters (Å, degrees): 6.631 6.627 6.627 54.90 102.20 77.80
Element x y z (fractional)
Te (0.281, 0.110, 0.140)
Te (0.219, 0.640, 0.610)
Te (0.719, 0.890, 0.860)
Te (0.781, 0.360, 0.390)
Au (0.750, 0.876, 0.376)
Au (0.250, 0.124, 0.624)
Hg (0.750, 0.375, 0.875)
Hg (0.250, 0.625, 0.125)

No. 21
Here is a relaxed Fe2SiCl crystal from Alexandria. Energies are from PBE.

Calculated values
E_tot: -5.88 eV/atom
Crystal system: trigonal
Uncorrected formation energy: 0.66 eV per formula unit
Energy above the lowest structure with this stoichiometry: 0.247 eV/atom

Lattice parameters (Å, degrees): 7.592 7.592 7.592 21.78 21.78 21.78
Site moments in Bohr magnetons follow the coordinates.
Element x y z (fractional)
Cl (0.750, 0.750, 0.750)  0.15
Fe (0.997, 0.997, 0.997)  2.11
Fe (0.503, 0.503, 0.503)  2.11
Si (0.250, 0.250, 0.250)  -0.10

No. 22
Here is a relaxed PrSm3Er5 crystal from Alexandria. Energies are from PBE.

Calculated values
E_tot: -4.31 eV/atom
Crystal system: monoclinic
Energy of formation from the pure elements: 2.94 eV per formula unit
Energy above the lowest structure with this stoichiometry: 0.000 eV/atom

Lattice parameters (Å, degrees): 6.007 10.087 11.409 112.25 90.00 107.32
Element x y z (fractional)
Pr (0.908, 0.000, 0.750)
Pr (0.092, 0.000, 0.250)
Sm (0.000, 0.000, 0.000)
Sm (0.413, 0.361, 0.363)
Sm (0.000, 0.000, 0.500)
Sm (0.587, 0.639, 0.637)
Sm (0.947, 0.361, 0.863)
Sm (0.053, 0.639, 0.137)
Er (0.414, 0.000, 0.750)
Er (0.576, 0.658, 0.969)
Er (0.904, 0.323, 0.196)
Er (0.424, 0.342, 0.031)
Er (0.581, 0.677, 0.304)
Er (0.586, 0.000, 0.250)
Er (0.082, 0.658, 0.469)
Er (0.918, 0.342, 0.531)
Er (0.419, 0.323, 0.696)
Er (0.096, 0.677, 0.804)

No. 23
Here is a relaxed Ac2DyHo crystal from Alexandria. Energies are from PBE.

Calculated values
E_tot: -4.09 eV/atom
Crystal system: trigonal
Energy of formation from the pure elements: 1.02 eV per formula unit
Energy above the lowest structure with this stoichiometry: 0.205 eV/atom

Lattice parameters (Å, degrees): 3.697 3.697 13.193 81.94 81.94 60.00
Element x y z (fractional)
Ac (0.088, 0.088, 0.735)
Ac (0.912, 0.912, 0.265)
Ho (0.000, 0.000, 0.000)
Dy (0.500, 0.500, 0.500)